Crystalline ReTc3S at its relaxed geometry. Source: the Alexandria database, functional PBE.

As for the total magnetization: 0.0 Bohr magnetons per cell. The value obtained for the formation energy without anion corrections is 0.80 eV per atom. Its mass density is 10.767 g/cm³. The total DFT energy (no corrections) comes out at -43.685 eV per cell.

It has space group Pm-3m (No. 221), with a = 4.2909 Å, b = 4.2909 Å, c = 4.2909 Å, α = 90.00°, β = 90.00° and γ = 90.00°. The distinct sites, in fractional coordinates, are Re at (0.0000, 0.0000, 0.0000), Tc at (0.0000, 0.5000, 0.5000) and S at (0.5000, 0.5000, 0.5000).

Crystalline NdThAlAg at its relaxed geometry. Source: the Alexandria database, functional PBE.

As for the total magnetization: 0.0 Bohr magnetons per cell. Its mass density is 8.039 g/cm³. The total DFT energy (no corrections) comes out at -77.934 eV per cell. The value obtained for the formation energy is -0.175 eV/atom.

It has space group F-43m (No. 216), with a = 7.5026 Å, b = 7.5026 Å, c = 7.5026 Å, α = 90.00°, β = 90.00° and γ = 90.00°. The distinct sites, in fractional coordinates, are Nd at (0.0000, 0.0000, 0.0000), Th at (0.0000, 0.0000, 0.5000), Al at (0.2500, 0.2500, 0.7500) and Ag at (0.2500, 0.2500, 0.2500).

Crystalline MgAsRu2 at its relaxed geometry. Source: the Alexandria database, functional PBE.

As for the total magnetization: 0.0 Bohr magnetons per cell. Its mass density is 8.063 g/cm³. The total DFT energy (no corrections) comes out at -25.024 eV per cell. The value obtained for the formation energy is -0.057 eV/atom.

It has space group P2/m (No. 10), with a = 2.9646 Å, b = 3.8546 Å, c = 5.6011 Å, α = 90.00°, β = 104.15° and γ = 90.00°. The distinct sites, in fractional coordinates, are Mg at (0.0000, 0.0000, 0.0000), As at (0.0000, 0.0000, 0.5000) and Ru at (0.3559, 0.5000, 0.7245).